Material: DyPa2FeN4
Method: DFT, PBE-GGA
State: optimized geometry

Computed properties:
space-group type: Cmcm (63)
magnetization: 0.00 μB per cell
E_tot: -9.48 eV per atom

abc: 3.344 6.010 11.427
angles: 90.00 90.00 106.15
Atoms (fractional coordinates):
Dy1 0.893 0.785 0.250
Pa1 0.632 0.264 0.439
Pa2 0.632 0.264 0.061
N1 0.725 0.450 0.622
Pa3 0.368 0.736 0.561
N2 0.000 0.000 0.000
N3 0.275 0.550 0.378
Dy2 0.107 0.215 0.750
N4 0.452 0.903 0.750
N5 0.725 0.450 0.878
N6 0.275 0.550 0.122
Fe1 0.156 0.313 0.250
Fe2 0.844 0.687 0.750
N7 0.548 0.097 0.250
N8 0.000 0.000 0.500
Pa4 0.368 0.736 0.939


Material: PrDy2FeN4
Method: DFT, PBE-GGA
State: optimized geometry

Computed properties:
space-group type: Cmcm (63)
magnetization: 0.00 μB per cell
E_tot: -8.08 eV per atom

abc: 3.421 5.987 11.560
angles: 90.00 90.00 106.60
Atoms (fractional coordinates):
N1 0.734 0.467 0.629
N2 0.411 0.822 0.750
N3 0.734 0.467 0.871
Dy1 0.368 0.736 0.545
Fe1 0.158 0.316 0.250
N4 0.266 0.533 0.129
N5 0.000 0.000 0.000
Pr1 0.888 0.775 0.250
Fe2 0.842 0.684 0.750
Dy2 0.368 0.736 0.955
Dy3 0.632 0.264 0.455
N6 0.000 0.000 0.500
Pr2 0.112 0.225 0.750
N7 0.266 0.533 0.371
N8 0.589 0.178 0.250
Dy4 0.632 0.264 0.045


Material: DyPu2FeN4
Method: DFT, PBE-GGA
State: optimized geometry

Computed properties:
space-group type: Cmcm (63)
magnetization: 9.98 μB per cell
E_tot: -10.44 eV per atom

abc: 3.380 5.872 11.377
angles: 90.00 90.00 106.73
Site moments in Bohr magnetons follow the coordinates.
Atoms (fractional coordinates):
N1 0.000 0.000 0.500  -0.24
N2 0.269 0.539 0.383  -0.19
N3 0.000 0.000 0.000  -0.24
Dy1 0.895 0.789 0.250  0.02
N4 0.731 0.461 0.617  -0.19
Pu1 0.631 0.261 0.056  4.16
N5 0.453 0.906 0.750  -0.14
Fe1 0.841 0.683 0.750  -2.59
N6 0.547 0.094 0.250  -0.14
Fe2 0.159 0.317 0.250  -2.59
Pu2 0.631 0.261 0.444  4.16
Pu3 0.369 0.739 0.556  4.16
Pu4 0.369 0.739 0.944  4.16
N7 0.269 0.539 0.117  -0.19
Dy2 0.105 0.211 0.750  0.02
N8 0.731 0.461 0.883  -0.19